No. 1
Compound: ZrFePb4
Source: Alexandria via LeMat-Bulk
Functional: PBE-GGA
Structure: optimized geometry

Calculated values
The electronic total energy comes out at -108.3 eV per cell. The value obtained for the formation energy is 77 kJ per mole of atoms.

Cell lengths 8.8403, 8.8403, 8.8403 Å; angles 90.00, 90.00, 90.00 degrees
Space group F-43m (No. 216)
One atom of each set of equivalent atoms:
Zr1 0.0000 0.0000 0.0000
Fe1 0.2500 0.2500 0.7500
Pb1 0.1253 0.1253 0.3747

---

No. 2
Compound: ZrFe2Pb
Source: Alexandria via LeMat-Bulk
Functional: PBE-GGA
Structure: optimized geometry

Calculated values
The electronic total energy comes out at -56.9 eV per cell. The value obtained for the formation energy is 18 kJ per mole of atoms.

Cell lengths 3.7955, 3.9218, 9.4745 Å; angles 90.00, 90.00, 90.00 degrees
Space group Amm2 (No. 38)
One atom of each set of equivalent atoms:
Zr1 0.0000 0.0000 0.0000
Fe1 0.0000 0.0000 0.3002
Fe2 0.5000 0.0000 0.4251
Pb1 0.5000 0.0000 0.7077

---

No. 3
Compound: Zr2FePb
Source: Alexandria via LeMat-Bulk
Functional: PBE-GGA
Structure: optimized geometry

Calculated values
The electronic total energy comes out at -58.8 eV per cell. The value obtained for the formation energy is -3 kJ per mole of atoms.

Cell lengths 4.1320, 3.6586, 10.9977 Å; angles 90.00, 90.00, 90.00 degrees
Space group Amm2 (No. 38)
One atom of each set of equivalent atoms:
Zr1 0.0000 0.0000 0.0000
Zr2 0.5000 0.0000 0.3222
Fe1 0.5000 0.0000 0.5447
Pb1 0.0000 0.0000 0.7193

---

Among the records above, which one has the lowest electronic total energy? ZrFePb4

---

What is the formation energy in the first record? 77 kJ per mole of atoms